[1]
VASP calculation (PBE) on USb3Pd after structural relaxation.

abc: 12.6495 6.2238 6.1046
angles: 90.00 90.00 90.00
With the nearest neighbours (Å) after each atom.
Space group Pbcm (No. 57)
Unique sites:
U 0.1904 0.0052 0.2500 [4 per cell]  9 Sb 3.12-3.25, 2 Pd 3.47
Sb 0.0018 0.7500 0.0000 [4 per cell]  4 Sb 3.05-3.11, 4 U 3.25
Sb 0.2498 0.5057 0.2500 [4 per cell]  2 Pd 2.89, 4 U 3.14-3.20
Sb 0.4312 0.1144 0.2500 [4 per cell]  4 Pd 2.73-2.76
Pd 0.4023 0.7500 0.0000 [4 per cell]  6 Sb 2.73-2.89, 2 Pd 3.05

## Properties
Energy relative to the elements, uncorrected = -332 meV/atom
E = -122.04 eV/cell
DOS(E_F) = 1.725 states/eV per atom

***

[2]
VASP calculation (PBE) on USb3Pd12 after structural relaxation.

abc: 4.1089 4.1089 16.1549
angles: 90.00 90.00 90.00
With the nearest neighbours (Å) after each atom.
Space group P4/mmm (No. 123)
Unique sites:
U 0.0000 0.0000 0.0000 [1 per cell]  12 Pd 2.88-2.91
Sb 0.0000 0.0000 0.2562 [2 per cell]  12 Pd 2.83-2.96
Sb 0.0000 0.0000 0.5000 [1 per cell]  12 Pd 2.87-2.91
Pd 0.0000 0.5000 0.1247 [4 per cell]  2 U 2.88, 8 Pd 2.88-2.91, 2 Sb 2.96
Pd 0.0000 0.5000 0.3763 [4 per cell]  4 Sb 2.83-2.87, 8 Pd 2.87-2.91
Pd 0.5000 0.5000 0.0000 [1 per cell]  8 Pd 2.88, 4 U 2.91
Pd 0.5000 0.5000 0.2515 [2 per cell]  8 Pd 2.88-2.90, 4 Sb 2.91
Pd 0.5000 0.5000 0.5000 [1 per cell]  8 Pd 2.87, 4 Sb 2.91

## Properties
Energy relative to the elements, uncorrected = -407 meV/atom
E = -92.48 eV/cell
DOS(E_F) = 1.091 states/eV per atom

***

[3]
VASP calculation (PBE) on USb2Pd6 after structural relaxation.

abc: 6.3361 6.3361 5.0159
angles: 90.00 90.00 120.00
With the nearest neighbours (Å) after each atom.
Space group P-3m1 (No. 164)
Unique sites:
U 0.0000 0.0000 0.0000 [1 per cell]  6 Pd 2.60
Sb 0.3333 0.6667 0.8371 [2 per cell]  6 Pd 2.91-3.06
Pd 0.1861 0.3722 0.3201 [6 per cell]  1 U 2.60, 4 Pd 2.73-2.80

## Properties
Energy relative to the elements, uncorrected = -227 meV/atom
E = -52.73 eV/cell
DOS(E_F) = 0.577 states/eV per atom